Entry 1:
DyMn2B4 | PBE | relaxed Values from VASP.

Cell and atoms, written as Quantum ESPRESSO input:
```
&SYSTEM
  ibrav = 0, nat = 7, ntyp = 3
/
ATOMIC_SPECIES
B 10.81 B.upf
Mn 54.94 Mn.upf
Dy 162.50 Dy.upf
ATOMIC_POSITIONS crystal
B 0.654 0.654 0.308
B 0.346 0.346 0.692
B 0.099 0.599 0.198
B 0.901 0.401 0.802
Mn 0.807 0.807 0.615
Mn 0.193 0.193 0.385
Dy 0.500 0.000 0.000
CELL_PARAMETERS angstrom
-1.545 0.883 -2.487
-2.282 -2.236 0.623
-1.674 5.428 4.847
```

Values from the calculation:
Total magnetization ... 3.7 μB per cell
Formation enthalpy at 0 K ... -379 meV per atom
Symmetry ... Immm
DOS at the Fermi energy ... 0.577 states/eV/atom


Entry 2:
Hg2W3 | PBE | relaxed Values from VASP.

Cell and atoms, written as Quantum ESPRESSO input:
```
&SYSTEM
  ibrav = 0, nat = 5, ntyp = 2
/
ATOMIC_SPECIES
Hg 200.59 Hg.upf
W 183.84 W.upf
ATOMIC_POSITIONS crystal
Hg 0.599 0.599 0.599
Hg 0.401 0.401 0.401
W 0.000 0.000 0.000
W 0.807 0.807 0.807
W 0.193 0.193 0.193
CELL_PARAMETERS angstrom
-10.471 -3.395 -4.012
-8.821 -5.641 -5.257
-9.835 -5.901 -2.391
```

Values from the calculation:
Total magnetization ... 0.0 μB per cell
ΔE to the lowest computed polymorph ... 0.0 meV/atom
Formation enthalpy at 0 K ... 790 meV per atom
Symmetry ... R-3m
DOS at the Fermi energy ... 1.254 states/eV/atom


Entry 3:
LaBeSn3 | PBE | relaxed Values from VASP.

Cell and atoms, written as Quantum ESPRESSO input:
```
&SYSTEM
  ibrav = 0, nat = 5, ntyp = 3
/
ATOMIC_SPECIES
Be 9.01 Be.upf
Sn 118.71 Sn.upf
La 138.91 La.upf
ATOMIC_POSITIONS crystal
Be 0.000 0.000 0.000
Sn 0.000 0.500 0.000
Sn 0.000 0.000 0.500
Sn 0.500 0.000 0.000
La 0.500 0.500 0.500
CELL_PARAMETERS angstrom
5.030 0.000 0.000
0.000 5.030 0.000
0.000 0.000 5.030
```

Values from the calculation:
Total magnetization ... 0.0 μB per cell
ΔE to the lowest computed polymorph ... 0.0 meV/atom
Formation enthalpy at 0 K ... -85 meV per atom
Symmetry ... Pm-3m
DOS at the Fermi energy ... 0.571 states/eV/atom


Entry 4:
SmDy7Mg4 | PBE | relaxed Values from VASP.

Cell and atoms, written as Quantum ESPRESSO input:
```
&SYSTEM
  ibrav = 0, nat = 12, ntyp = 3
/
ATOMIC_SPECIES
Sm 150.36 Sm.upf
Dy 162.50 Dy.upf
Mg 24.30 Mg.upf
ATOMIC_POSITIONS crystal
Sm 0.000 0.000 0.000
Dy 0.797 0.877 0.529
Dy 0.203 0.123 0.471
Dy 0.080 0.574 0.266
Dy 0.920 0.426 0.734
Dy 0.252 0.710 0.787
Dy 0.500 0.000 0.000
Dy 0.748 0.290 0.213
Mg 0.542 0.302 0.615
Mg 0.458 0.698 0.385
Mg 0.675 0.654 0.995
Mg 0.325 0.346 0.005
CELL_PARAMETERS angstrom
-1.530 3.676 4.132
-6.991 -3.538 4.543
2.275 -2.721 7.247
```

Values from the calculation:
Total magnetization ... 0.1 μB per cell
Formation enthalpy at 0 K ... 169 meV per atom
Symmetry ... C2/m
DOS at the Fermi energy ... 1.355 states/eV/atom


Entry 5:
Mn3Tc | PBE | relaxed Values from VASP.

Cell and atoms, written as Quantum ESPRESSO input:
```
&SYSTEM
  ibrav = 0, nat = 4, ntyp = 2
/
ATOMIC_SPECIES
Mn 54.94 Mn.upf
Tc 98.00 Tc.upf
ATOMIC_POSITIONS crystal
Mn 0.000 0.000 0.000
Mn 0.000 0.500 0.500
Mn 0.500 0.000 0.500
Tc 0.500 0.500 0.000
CELL_PARAMETERS angstrom
-2.647 -2.143 -1.235
0.379 -2.139 2.900
-2.444 1.990 1.787
```

Values from the calculation:
Total magnetization ... 1.8 μB per cell
Formation enthalpy at 0 K ... 119 meV per atom
Symmetry ... Pm-3m
DOS at the Fermi energy ... 1.427 states/eV/atom


Entry 6:
Ho5CSe4 | PBE | relaxed Values from VASP.

Cell and atoms, written as Quantum ESPRESSO input:
```
&SYSTEM
  ibrav = 0, nat = 10, ntyp = 3
/
ATOMIC_SPECIES
Ho 164.93 Ho.upf
C 12.01 C.upf
Se 78.96 Se.upf
ATOMIC_POSITIONS crystal
Ho 0.910 0.350 0.832
Ho 0.260 0.832 0.650
Ho 0.742 0.168 0.350
Ho 0.092 0.650 0.168
Ho 0.501 0.000 0.000
C 0.001 0.000 0.000
Se 0.410 0.398 0.785
Se 0.807 0.785 0.602
Se 0.195 0.215 0.398
Se 0.593 0.602 0.215
CELL_PARAMETERS angstrom
5.614 0.000 0.000
2.807 6.308 0.000
2.807 0.000 6.308
```

Values from the calculation:
Formation energy (no corrections) ... -1.517 eV per atom
Total magnetization ... 0.0 μB per cell
ΔE to the lowest computed polymorph ... 0.0 meV/atom
Symmetry ... I4
DOS at the Fermi energy ... 0.483 states/eV/atom


Entry 7:
PaCd2O6 | PBE | relaxed Values from VASP.

Cell and atoms, written as Quantum ESPRESSO input:
```
&SYSTEM
  ibrav = 0, nat = 18, ntyp = 3
/
ATOMIC_SPECIES
Pa 231.04 Pa.upf
Cd 112.41 Cd.upf
O 16.00 O.upf
ATOMIC_POSITIONS crystal
Pa 0.250 0.910 0.090
Pa 0.750 0.090 0.910
Cd 0.367 0.402 0.148
Cd 0.133 0.852 0.598
Cd 0.633 0.598 0.852
Cd 0.867 0.148 0.402
O 0.512 0.421 0.443
O 0.988 0.557 0.579
O 0.488 0.579 0.557
O 0.012 0.443 0.421
O 0.869 0.064 0.655
O 0.631 0.345 0.936
O 0.131 0.936 0.345
O 0.369 0.655 0.064
O 0.097 0.169 0.075
O 0.403 0.925 0.831
O 0.903 0.831 0.925
O 0.597 0.075 0.169
CELL_PARAMETERS angstrom
5.715 -1.245 0.728
1.021 7.513 -0.514
-1.835 -1.025 7.303
```

Values from the calculation:
Formation energy (no corrections) ... -1.748 eV per atom
Total magnetization ... 2.0 μB per cell
Symmetry ... C2/c
DOS at the Fermi energy ... 0.048 states/eV/atom


Entry 8:
K2Cu2PdCl6 | PBE | relaxed Values from VASP.

Cell and atoms, written as Quantum ESPRESSO input:
```
&SYSTEM
  ibrav = 0, nat = 11, ntyp = 4
/
ATOMIC_SPECIES
K 39.10 K.upf
Cu 63.55 Cu.upf
Pd 106.42 Pd.upf
Cl 35.45 Cl.upf
ATOMIC_POSITIONS crystal
K 0.718 0.436 0.201
K 0.282 0.564 0.799
Cu 0.966 0.932 0.774
Cu 0.034 0.068 0.226
Pd 0.500 0.000 0.500
Cl 0.803 0.607 0.724
Cl 0.193 0.866 0.232
Cl 0.327 0.134 0.768
Cl 0.807 0.134 0.768
Cl 0.673 0.866 0.232
Cl 0.197 0.393 0.276
CELL_PARAMETERS angstrom
-1.611 3.717 -5.494
3.665 -6.683 -1.356
-6.013 -1.661 0.640
```

Values from the calculation:
Formation energy (no corrections) ... -1.011 eV per atom
Total magnetization ... 0.0 μB per cell
Symmetry ... C2/m


Entry 9:
RbTl10Au3 | PBE | relaxed Values from VASP.

Cell and atoms, written as Quantum ESPRESSO input:
```
&SYSTEM
  ibrav = 0, nat = 28, ntyp = 3
/
ATOMIC_SPECIES
Rb 85.47 Rb.upf
Tl 204.38 Tl.upf
Au 196.97 Au.upf
ATOMIC_POSITIONS crystal
Rb 0.250 0.250 0.250
Rb 0.750 0.750 0.750
Tl 0.000 0.000 0.339
Tl 0.000 0.339 0.000
Tl 0.339 0.000 0.000
Tl 0.661 0.339 0.000
Tl 0.386 0.386 0.386
Tl 0.158 0.614 0.614
Tl 0.386 0.842 0.386
Tl 0.661 0.000 0.339
Tl 0.386 0.386 0.842
Tl 0.842 0.386 0.386
Tl 0.614 0.614 0.158
Tl 0.000 0.000 0.661
Tl 0.339 0.661 0.000
Tl 0.000 0.661 0.339
Tl 0.000 0.339 0.661
Tl 0.661 0.000 0.000
Tl 0.614 0.614 0.614
Tl 0.000 0.661 0.000
Tl 0.614 0.158 0.614
Tl 0.339 0.000 0.661
Au 0.731 0.731 0.269
Au 0.731 0.269 0.731
Au 0.269 0.731 0.731
Au 0.269 0.269 0.731
Au 0.731 0.269 0.269
Au 0.269 0.731 0.269
CELL_PARAMETERS angstrom
-2.963 -3.027 9.901
-1.044 -10.458 2.347
7.108 -4.791 6.519
```

Values from the calculation:
Total magnetization ... 0.0 μB per cell
Formation enthalpy at 0 K ... -8 meV per atom
Symmetry ... Fm-3m
DOS at the Fermi energy ... 0.518 states/eV/atom